# 1
TbCeSm2Se6 (PBE, optimized geometry); total DFT energy (no corrections) = -59.11 eV per cell; size of the total moment = 1.02 μB per cell; formation energy from raw total energies = -1.820 eV per atom; V = 310.6 Å³ per cell
1.0
-3.8515 1.1083 6.2019
1.4713 -4.0067 6.0256
3.5987 3.5376 5.9981
Se Sm Ce Tb
6 2 1 1
Direct
0.2182 0.9228 0.2509
0.4099 0.7153 0.7532
0.6081 0.2182 0.2509
0.9228 0.6081 0.2509
0.7153 0.1215 0.7532
0.1215 0.4099 0.7532
0.0152 0.0152 0.9544
0.5174 0.5174 0.4477
0.8152 0.8152 0.5546
0.3179 0.3179 0.0463

# 2
Tb2CeSm3Se6 (PBE, optimized geometry); total DFT energy (no corrections) = -71.95 eV per cell; size of the total moment = 0.85 μB per cell; formation energy from raw total energies = -1.807 eV per atom; V = 303.5 Å³ per cell
1.0
7.1941 -0.0114 -0.0045
-3.6052 6.2256 -0.0045
-1.2014 -2.0802 6.7855
Sm Se Tb Ce
3 6 2 1
Direct
0.8339 0.1661 0.5000
0.5000 0.5000 0.5000
0.1661 0.8339 0.5000
0.4200 0.0823 0.2463
0.2566 0.2566 0.7549
0.5800 0.9177 0.7537
0.0823 0.4200 0.2463
0.7434 0.7434 0.2451
0.9177 0.5800 0.7537
0.3327 0.6673 0.0000
0.6673 0.3327 0.0000
0.0000 0.0000 0.0000

# 3
Tb3CeSm2Se6 (PBE, optimized geometry); total DFT energy (no corrections) = -71.78 eV per cell; size of the total moment = 1.15 μB per cell; formation energy from raw total energies = -1.801 eV per atom; V = 301.0 Å³ per cell
1.0
-2.6003 -1.6222 -2.7485
3.4237 -7.5049 1.1903
-5.3470 1.1219 7.4797
Tb Sm Ce Se
3 2 1 6
Direct
0.8334 0.1656 0.6668
0.1666 0.8344 0.3332
0.5000 0.5000 0.0000
0.1656 0.3310 0.3313
0.8344 0.6690 0.6687
0.5000 0.0000 0.0000
0.6657 0.5872 0.3314
0.0019 0.7439 0.0037
0.6691 0.0796 0.3382
0.3343 0.4128 0.6686
0.9981 0.2561 0.9963
0.3309 0.9204 0.6618

# 4
Tb3CeSm3Se8 (PBE, optimized geometry); total DFT energy (no corrections) = -89.38 eV per cell; size of the total moment = 1.48 μB per cell; formation energy from raw total energies = -1.835 eV per atom; V = 398.1 Å³ per cell
1.0
8.2564 0.0000 0.0000
-4.1282 7.1505 -0.0244
0.0000 -4.7436 6.7588
Tb Sm Se Ce
3 3 8 1
Direct
0.0000 0.5000 0.5000
0.5000 0.5000 0.5000
0.5000 0.0000 0.5000
0.0000 0.5000 0.0000
0.0000 0.0000 0.0000
0.5000 0.5000 0.0000
0.7388 0.9954 0.7518
0.2522 0.5044 0.2566
0.7435 0.0046 0.2482
0.7478 0.4956 0.7434
0.7435 0.4869 0.2481
0.2612 0.0046 0.2482
0.2565 0.5131 0.7519
0.2565 0.9954 0.7518
0.0000 0.0000 0.5000

# 5
CeSmTeSe2 (PBE, optimized geometry); total DFT energy (no corrections) = -27.63 eV per cell; size of the total moment = 1.00 μB per cell; formation energy from raw total energies = -1.374 eV per atom; V = 154.9 Å³ per cell
1.0
-4.0216 -0.4662 -2.3062
-1.3304 -3.3163 2.9902
-0.2955 6.8515 3.8371
Se Te Sm Ce
2 1 1 1
Direct
0.2507 0.7507 0.5015
0.7507 0.2507 0.5015
0.5011 0.5011 0.0022
0.8649 0.8649 0.7298
0.1325 0.1325 0.2650

# 6
CeSm4Th3Se8 (PBE, optimized geometry); total DFT energy (no corrections) = -102.35 eV per cell; size of the total moment = 0.73 μB per cell; formation energy from raw total energies = -1.713 eV per atom; V = 414.8 Å³ per cell
1.0
-6.5179 -0.0048 -5.1084
2.8761 -7.0675 -3.6631
-1.1640 0.1285 8.1973
Se Ce Sm Th
8 1 4 3
Direct
0.7483 0.2446 0.9960
0.2477 0.2446 0.9960
0.2509 0.7545 0.5018
0.2477 0.2435 0.4954
0.7523 0.7554 0.0040
0.7491 0.2455 0.4982
0.7523 0.7565 0.5046
0.2517 0.7554 0.0040
0.0000 0.5000 0.0000
0.5000 0.0000 0.5000
0.0000 0.0000 0.5000
0.0000 0.0000 0.0000
0.5000 0.0000 0.0000
0.5000 0.5000 0.0000
0.5000 0.5000 0.5000
0.0000 0.5000 0.5000

# 7
CeSm2Th3Se6 (PBE, optimized geometry); total DFT energy (no corrections) = -78.63 eV per cell; size of the total moment = 0.67 μB per cell; formation energy from raw total energies = -1.675 eV per atom; V = 312.2 Å³ per cell
1.0
4.1754 0.0000 0.0000
0.0000 8.4105 0.1768
-2.0877 -2.5531 8.8375
Se Ce Th Sm
6 1 3 2
Direct
0.6660 0.0887 0.3321
0.9986 0.7515 0.9972
0.6684 0.5814 0.3368
0.3340 0.9113 0.6679
0.3316 0.4186 0.6632
0.0014 0.2485 0.0028
0.5000 0.0000 0.0000
0.1666 0.8357 0.3331
0.5000 0.5000 0.0000
0.8334 0.1643 0.6669
0.1658 0.3325 0.3317
0.8342 0.6675 0.6683

# 8
Ce2Sm3ThSe6 (PBE, optimized geometry); total DFT energy (no corrections) = -75.61 eV per cell; size of the total moment = 2.07 μB per cell; formation energy from raw total energies = -1.772 eV per atom; V = 311.7 Å³ per cell
1.0
-3.5364 -2.0809 -0.7581
-1.2446 -0.8977 8.2701
-2.4296 8.9162 -1.6577
Se Ce Sm Th
6 2 3 1
Direct
0.3318 0.9182 0.6637
0.3336 0.4150 0.6672
0.6664 0.5850 0.3328
0.0008 0.7466 0.0017
0.6682 0.0818 0.3363
0.9992 0.2534 0.9983
0.8340 0.6678 0.6679
0.1660 0.3322 0.3321
0.1658 0.8334 0.3316
0.5000 0.5000 0.0000
0.8342 0.1666 0.6684
0.5000 0.0000 0.0000

# 9
CeSmTh2Se4 (PBE, optimized geometry); total DFT energy (no corrections) = -52.88 eV per cell; size of the total moment = 0.64 μB per cell; formation energy from raw total energies = -1.681 eV per atom; V = 208.2 Å³ per cell
1.0
4.1920 0.0000 0.0000
0.0000 7.1830 0.1043
0.0000 -2.5302 6.8790
Sm Th Se Ce
1 2 4 1
Direct
0.5000 0.5000 0.0000
0.5000 0.0000 0.5000
0.0000 0.5000 0.5000
0.5000 0.7500 0.7545
0.0000 0.7471 0.2447
0.0000 0.2529 0.7553
0.5000 0.2500 0.2455
0.0000 0.0000 0.0000

# 10
Ce3Sm4ThSe8 (PBE, optimized geometry); total DFT energy (no corrections) = -100.65 eV per cell; size of the total moment = 2.65 μB per cell; formation energy from raw total energies = -1.792 eV per atom; V = 415.5 Å³ per cell
1.0
8.3626 0.0000 0.0000
0.0000 8.3897 0.0142
-4.1813 -4.1767 5.9155
Se Ce Th Sm
8 3 1 4
Direct
0.2514 0.7538 0.5028
0.2493 0.2465 0.9976
0.7507 0.7535 0.0024
0.7508 0.7530 0.5016
0.2492 0.2470 0.4984
0.2517 0.7535 0.0024
0.7483 0.2465 0.9976
0.7486 0.2462 0.4972
0.5000 0.5000 0.5000
0.0000 0.5000 0.5000
0.5000 0.5000 0.0000
0.0000 0.5000 0.0000
0.5000 0.0000 0.5000
0.0000 0.0000 0.5000
0.5000 0.0000 0.0000
0.0000 0.0000 0.0000